(1)
Computed, not measured: a relaxed CaMn2Ni crystal at the GGA-PBE level of DFT.

a = 3.2230 Å, b = 3.2230 Å, c = 6.7638 Å
α = 90.00°, β = 90.00°, γ = 90.00°
Closest atoms and distances in Å follow each position.
Sites, in units of the cell vectors:
Ni  0.0000  0.0000  0.4348  5 Mn 2.52-2.54
Ca  0.5000  0.5000  0.7296  4 Ni 3.03, 5 Mn 3.07-3.19, 4 Ca 3.22
Mn  0.0000  0.0000  0.0599  1 Ni 2.54, 4 Mn 2.71
Mn  0.5000  0.5000  0.2757  4 Ni 2.52, 4 Mn 2.71

Results
Magnetic moment ... 7.68 μB per cell
Electronic total energy ... -6.210 eV/atom



(2)
Computed, not measured: a relaxed CaMn2Ni crystal at the GGA-PBE level of DFT.

a = 5.3838 Å, b = 5.3838 Å, c = 5.3838 Å
α = 143.04°, β = 130.83°, γ = 63.07°
Closest atoms and distances in Å follow each position.
Sites, in units of the cell vectors:
Ni  0.5233  0.5233  0.0000  2 Mn 2.39
Ca  0.2755  0.7755  0.5000  2 Ni 2.84, 8 Mn 2.89-3.09
Mn  0.9953  0.9953  0.0000  4 Ni 2.83, 4 Mn 2.96-3.16, 4 Ca 3.01-3.09
Mn  0.7059  0.2059  0.5000  2 Ni 2.39

Results
Magnetic moment ... 7.91 μB per cell
Electronic total energy ... -6.115 eV/atom



(3)
Computed, not measured: a relaxed CaMn2Ni crystal at the GGA-PBE level of DFT.

a = 3.9075 Å, b = 2.6465 Å, c = 6.6195 Å
α = 66.23°, β = 90.00°, γ = 90.00°
Closest atoms and distances in Å follow each position.
Sites, in units of the cell vectors:
Ni  0.5000  0.2500  0.2500  8 Mn 2.54-2.55, 2 Ni 2.65
Ca  0.5000  0.7500  0.7500  2 Ca 2.65
Mn  0.0000  0.9087  0.0926  1 Mn 1.91
Mn  0.0000  0.5913  0.4074  1 Mn 1.91

Results
Magnetic moment ... 0.00 μB per cell
Electronic total energy ... -5.962 eV/atom



(4)
Computed, not measured: a relaxed CaMn2Ni crystal at the GGA-PBE level of DFT.

a = 4.5300 Å, b = 4.5300 Å, c = 4.5300 Å
α = 120.13°, β = 120.13°, γ = 89.77°
Closest atoms and distances in Å follow each position.
Sites, in units of the cell vectors:
Ni  0.5000  0.5000  0.0000  4 Mn 2.77, 4 Ca 2.77
Ca  0.7500  0.2500  0.5000  4 Mn 2.77, 4 Ni 2.77
Mn  0.0000  0.0000  0.0000  4 Ca 2.77, 4 Mn 2.77
Mn  0.2500  0.7500  0.5000  4 Mn 2.77, 4 Ni 2.77

Results
Magnetic moment ... 0.89 μB per cell
Electronic total energy ... -6.168 eV/atom



(5)
Computed, not measured: a relaxed CaMn2Ni crystal at the GGA-PBE level of DFT.

a = 4.3062 Å, b = 4.3062 Å, c = 9.1055 Å
α = 76.32°, β = 76.32°, γ = 90.00°
Closest atoms and distances in Å follow each position.
Sites, in units of the cell vectors:
Ni  0.0000  0.0000  0.0000  4 Mn 2.40
Ni  0.7500  0.2500  0.5000  4 Mn 2.40
Ca  0.5000  0.5000  0.0000  4 Ni 3.04, 8 Mn 3.22
Ca  0.2500  0.7500  0.5000  4 Ni 3.04, 8 Mn 3.22
Mn  0.8750  0.1250  0.2500  2 Mn 2.15, 2 Ni 2.40
Mn  0.8750  0.6250  0.2500  2 Mn 2.15, 2 Ni 2.40
Mn  0.3750  0.1250  0.7500  2 Mn 2.15, 2 Ni 2.40
Mn  0.8750  0.1250  0.7500  2 Mn 2.15, 2 Ni 2.40

Results
Magnetic moment ... 9.68 μB per cell
Electronic total energy ... -5.860 eV/atom



(6)
Computed, not measured: a relaxed CaMn2Ni crystal at the GGA-PBE level of DFT.

a = 5.5433 Å, b = 5.5433 Å, c = 5.5433 Å
α = 147.70°, β = 129.41°, γ = 61.30°
Closest atoms and distances in Å follow each position.
Sites, in units of the cell vectors:
Ni  0.7500  0.2500  0.5000  4 Mn 2.52, 4 Ca 2.83
Ca  0.2500  0.7500  0.5000  4 Ni 2.83, 2 Ca 3.08, 4 Mn 3.10
Mn  0.9594  0.9594  0.0000  2 Ni 2.52
Mn  0.5406  0.5406  0.0000  2 Ni 2.52

Results
Magnetic moment ... 7.91 μB per cell
Electronic total energy ... -6.199 eV/atom



(7)
Computed, not measured: a relaxed CaMn2Ni crystal at the GGA-PBE level of DFT.

a = 5.6841 Å, b = 5.6841 Å, c = 5.6841 Å
α = 43.06°, β = 43.06°, γ = 43.06°
Closest atoms and distances in Å follow each position.
Sites, in units of the cell vectors:
Ni  0.7500  0.7500  0.7500  6 Mn 2.48
Ca  0.2500  0.2500  0.2500  8 Mn 3.13-3.15
Mn  0.0458  0.0458  0.0458  3 Ni 2.48, 3 Mn 2.67
Mn  0.4542  0.4542  0.4542  3 Ni 2.48, 3 Mn 2.67

Results
Magnetic moment ... 7.88 μB per cell
Electronic total energy ... -6.278 eV/atom



(8)
Computed, not measured: a relaxed CaMn2Ni crystal at the GGA-PBE level of DFT.

a = 4.5706 Å, b = 4.5706 Å, c = 4.5706 Å
α = 60.00°, β = 60.00°, γ = 60.00°
Closest atoms and distances in Å follow each position.
Sites, in units of the cell vectors:
Ni  0.5000  0.5000  0.5000  8 Mn 2.80
Ca  0.0000  0.0000  0.0000  8 Mn 2.80
Mn  0.2500  0.2500  0.2500  4 Ca 2.80, 4 Ni 2.80
Mn  0.7500  0.7500  0.7500  4 Ni 2.80, 4 Ca 2.80

Results
Magnetic moment ... 8.08 μB per cell
Electronic total energy ... -6.076 eV/atom



(9)
Computed, not measured: a relaxed Ca4MnNi crystal at the GGA-PBE level of DFT.

a = 6.4475 Å, b = 6.4475 Å, c = 6.4475 Å
α = 60.00°, β = 60.00°, γ = 60.00°
Closest atoms and distances in Å follow each position.
Sites, in units of the cell vectors:
Ca  0.8760  0.3747  0.3747  6 Ca 3.21-3.23
Ca  0.3747  0.3747  0.8760  6 Ca 3.21-3.23
Ca  0.3747  0.8760  0.3747  6 Ca 3.21-3.23
Ca  0.3747  0.3747  0.3747  6 Ca 3.21-3.23
Mn  0.7500  0.7500  0.7500  12 Ca 3.78, 4 Ni 3.95
Ni  0.0000  0.0000  0.0000  12 Ca 3.78, 4 Mn 3.95

Results
Magnetic moment ... 4.81 μB per cell
Electronic total energy ... -2.885 eV/atom



(10)
Computed, not measured: a relaxed CaMnNi10 crystal at the GGA-PBE level of DFT.

a = 3.9864 Å, b = 4.7669 Å, c = 8.2920 Å
α = 90.00°, β = 90.00°, γ = 90.00°
Closest atoms and distances in Å follow each position.
Sites, in units of the cell vectors:
Ca  0.0000  0.0000  0.0000  18 Ni 2.84-3.16
Mn  0.0000  0.5000  0.5000  6 Ni 2.61-2.71
Ni  0.0000  0.0000  0.3453  7 Ni 2.37-2.57
Ni  0.0000  0.5000  0.8147  6 Ni 2.39-2.52, 1 Mn 2.61
Ni  0.0000  0.5000  0.1853  6 Ni 2.39-2.52, 1 Mn 2.61
Ni  0.0000  0.0000  0.6547  7 Ni 2.37-2.57
Ni  0.5000  0.0000  0.5000  8 Ni 2.34-2.37
Ni  0.5000  0.5000  0.0000  8 Ni 2.44-2.52
Ni  0.5000  0.2537  0.2579  8 Ni 2.34-2.44
Ni  0.5000  0.7463  0.7421  8 Ni 2.34-2.44
Ni  0.5000  0.7463  0.2579  8 Ni 2.34-2.44
Ni  0.5000  0.2537  0.7421  8 Ni 2.34-2.44

Results
Magnetic moment ... 9.08 μB per cell
Electronic total energy ... -5.726 eV/atom



(11)
Computed, not measured: a relaxed CaMn2Ni crystal at the GGA-PBE level of DFT.

a = 3.9700 Å, b = 3.9552 Å, c = 4.2892 Å
α = 90.00°, β = 90.00°, γ = 90.00°
Closest atoms and distances in Å follow each position.
Sites, in units of the cell vectors:
Ni  0.5000  0.0000  0.5000  4 Ca 2.80, 8 Mn 2.92
Ca  0.0000  0.5000  0.5000  4 Ni 2.80, 8 Mn 2.92
Mn  0.0000  0.0000  0.0000  4 Mn 2.80, 4 Ca 2.92, 4 Ni 2.92
Mn  0.5000  0.5000  0.0000  4 Mn 2.80, 4 Ni 2.92, 4 Ca 2.92

Results
Magnetic moment ... 7.63 μB per cell
Electronic total energy ... -6.097 eV/atom



(12)
Computed, not measured: a relaxed CaMn2Ni crystal at the GGA-PBE level of DFT.

a = 4.4236 Å, b = 4.4236 Å, c = 5.2282 Å
α = 75.62°, β = 75.62°, γ = 45.41°
Closest atoms and distances in Å follow each position.
Sites, in units of the cell vectors:
Ni  0.7500  0.7500  0.7500  6 Mn 2.43-2.47
Ca  0.2500  0.2500  0.2500  8 Mn 3.11-3.16, 4 Ni 3.12, 2 Ca 3.42
Mn  0.0300  0.0300  0.8472  2 Mn 2.11
Mn  0.4700  0.4700  0.6528  2 Mn 2.11

Results
Magnetic moment ... 1.89 μB per cell
Electronic total energy ... -6.121 eV/atom



(13)
Computed, not measured: a relaxed CaMn2Ni crystal at the GGA-PBE level of DFT.

a = 3.1195 Å, b = 3.1203 Å, c = 7.3978 Å
α = 90.00°, β = 90.00°, γ = 90.00°
Closest atoms and distances in Å follow each position.
Sites, in units of the cell vectors:
Ni  0.5000  0.5000  0.2500  8 Mn 2.57
Ca  0.5000  0.5000  0.7500  4 Ca 3.12, 8 Mn 3.24
Mn  0.0000  0.0000  0.0709  4 Ni 2.57, 1 Mn 2.65
Mn  0.0000  0.0000  0.4291  4 Ni 2.57, 1 Mn 2.65

Results
Magnetic moment ... 8.35 μB per cell
Electronic total energy ... -6.196 eV/atom



(14)
Computed, not measured: a relaxed CaMnNi3 crystal at the GGA-PBE level of DFT.

a = 4.4464 Å, b = 4.4464 Å, c = 4.4464 Å
α = 90.00°, β = 90.00°, γ = 90.00°
Closest atoms and distances in Å follow each position.
Sites, in units of the cell vectors:
Ni  0.0000  0.5000  0.0000  2 Mn 2.22
Ni  0.0000  0.0000  0.5000  2 Mn 2.22
Ni  0.5000  0.0000  0.0000  2 Mn 2.22
Ca  0.5000  0.5000  0.5000  12 Ni 3.14
Mn  0.0000  0.0000  0.0000  6 Ni 2.22

Results
Magnetic moment ... 4.88 μB per cell
Electronic total energy ... -5.242 eV/atom
Offset from the most stable computed form ... 0.000 eV per atom